[1]
Material: PrBPIr6
Method: DFT, PBE
State: optimized geometry

It has space group Imma (No. 74), with a = 6.7664 Å, b = 8.2582 Å, c = 11.0911 Å, α = 90.00°, β = 90.00° and γ = 90.00°. The asymmetric unit holds Pr at (0.0000, 0.2500, 0.1767), B at (0.0000, 0.0000, 0.5000), P at (0.2500, 0.2500, 0.7500), Ir at (0.0000, 0.2500, 0.4547), Ir at (0.0000, 0.2500, 0.8943) and Ir at (0.2167, 0.0271, 0.6268).

The value obtained for the raw total energy is -280.768 eV per cell.

[2]
Material: ReNiTe2
Method: DFT, PBE
State: optimized geometry

It has space group R3m (No. 160, hexagonal axes), with a = 3.9738 Å, b = 3.9738 Å, c = 20.3538 Å, α = 90.00°, β = 90.00° and γ = 120.00°. The asymmetric unit holds Re at (0.0000, 0.0000, 0.0000), Ni at (0.0000, 0.0000, 0.7041), Te at (0.0000, 0.0000, 0.2527) and Te at (0.0000, 0.0000, 0.4270).

The formation energy (no corrections) is 0.18 eV/atom. Its energy above the most stable polymorph in this dataset is 74 meV per atom. The value obtained for the raw total energy is -71.389 eV per cell.

[3]
Material: LaCu2As
Method: DFT, PBE
State: optimized geometry

It has space group R3m (No. 160, hexagonal axes), with a = 4.2072 Å, b = 4.2072 Å, c = 15.4361 Å, α = 90.00°, β = 90.00° and γ = 120.00°. The asymmetric unit holds La at (0.0000, 0.0000, 0.0000), Cu at (0.0000, 0.0000, 0.4996), Cu at (0.0000, 0.0000, 0.7891) and As at (0.0000, 0.0000, 0.2086).

The value obtained for the raw total energy is -59.316 eV per cell.

[4]
Material: Pr3Mg4Hg4
Method: DFT, PBE
State: optimized geometry

It has space group Immm (No. 71), with a = 4.6040 Å, b = 7.9162 Å, c = 15.6053 Å, α = 90.00°, β = 90.00° and γ = 90.00°. The asymmetric unit holds Pr at (0.0000, 0.0000, 0.0000), Pr at (0.0000, 0.5000, 0.1179), Mg at (0.0000, 0.3074, 0.3255), Hg at (0.0000, 0.0000, 0.2230) and Hg at (0.0000, 0.2007, 0.5000).

Its energy above the most stable polymorph in this dataset is 0 meV per atom. The value obtained for the raw total energy is -51.807 eV per cell.

Which value of raw total energy does entry 4 give? -51.807 eV per cell

The lowest raw total energy belongs to which entry? PrBPIr6

Which of these has the highest raw total energy? Pr3Mg4Hg4

Which formula does entry 3 have? LaCu2As